(1)
# BaNa8Tl4, optimized geometry, DFT GGA-PBE
# Magnetic moment ... 0.000 μB per atom
# Formation energy from the elements ... -116 meV per atom
# Fermi-level density of states ... 0.440 states/eV/atom
# Space-group type ... No. 139
# Energy ... -1.804 eV/atom
data_BaNa8Tl4
_cell_length_a 6.6951
_cell_length_b 8.6399
_cell_length_c 8.6399
_cell_angle_alpha 81.37
_cell_angle_beta 67.20
_cell_angle_gamma 67.20
_symmetry_space_group_name_H-M 'P 1'
_symmetry_Int_Tables_number 1
loop_
_symmetry_equiv_pos_as_xyz
'x,y,z'
loop_
_atom_site_label
_atom_site_type_symbol
_atom_site_fract_x
_atom_site_fract_y
_atom_site_fract_z
_atom_site_occupancy
Ba1 Ba 0.0000 0.0000 0.0000 1
Na1 Na 0.0000 0.3445 0.6555 1
Na2 Na 0.0000 0.6555 0.3445 1
Na3 Na 0.3445 0.6555 0.6555 1
Na4 Na 0.6555 0.3445 0.3445 1
Na5 Na 0.5000 0.7777 0.2223 1
Na6 Na 0.5000 0.2223 0.7777 1
Na7 Na 0.2777 0.2223 0.2223 1
Na8 Na 0.7223 0.7777 0.7777 1
Tl1 Tl 0.0000 0.0000 0.5000 1
Tl2 Tl 0.5000 0.0000 0.5000 1
Tl3 Tl 0.0000 0.5000 0.0000 1
Tl4 Tl 0.5000 0.5000 0.0000 1

***

(2)
# BaNa4Tl2, optimized geometry, DFT GGA-PBE
# Magnetic moment ... 0.000 μB per atom
# Formation energy from the elements ... -131 meV per atom
# Fermi-level density of states ... 0.542 states/eV/atom
# Space-group type ... No. 65
# Energy ... -1.835 eV/atom
data_BaNa4Tl2
_cell_length_a 5.0990
_cell_length_b 5.1858
_cell_length_c 9.9347
_cell_angle_alpha 105.13
_cell_angle_beta 90.00
_cell_angle_gamma 90.00
_symmetry_space_group_name_H-M 'P 1'
_symmetry_Int_Tables_number 1
loop_
_symmetry_equiv_pos_as_xyz
'x,y,z'
loop_
_atom_site_label
_atom_site_type_symbol
_atom_site_fract_x
_atom_site_fract_y
_atom_site_fract_z
_atom_site_occupancy
Ba1 Ba 0.0000 0.0000 0.0000 1
Na1 Na 0.5000 0.8209 0.6419 1
Na2 Na 0.0000 0.6779 0.3557 1
Na3 Na 0.5000 0.1791 0.3581 1
Na4 Na 0.0000 0.3221 0.6443 1
Tl1 Tl 0.5000 0.5790 0.1579 1
Tl2 Tl 0.5000 0.4210 0.8421 1

***

(3)
# Ba2Na2Tl, optimized geometry, DFT GGA-PBE
# Magnetic moment ... 0.000 μB per atom
# Formation energy from the elements ... 61 meV per atom
# Fermi-level density of states ... 1.173 states/eV/atom
# Space-group type ... No. 127
# Energy above the most stable polymorph in this dataset ... 257 meV/atom
# Energy ... -1.709 eV/atom
data_Ba2Na2Tl
_cell_length_a 9.6308
_cell_length_b 9.6308
_cell_length_c 5.3618
_cell_angle_alpha 90.00
_cell_angle_beta 90.00
_cell_angle_gamma 90.00
_symmetry_space_group_name_H-M 'P 1'
_symmetry_Int_Tables_number 1
loop_
_symmetry_equiv_pos_as_xyz
'x,y,z'
loop_
_atom_site_label
_atom_site_type_symbol
_atom_site_fract_x
_atom_site_fract_y
_atom_site_fract_z
_atom_site_occupancy
Na1 Na 0.1373 0.6373 0.5000 1
Na2 Na 0.6373 0.8627 0.5000 1
Na3 Na 0.8627 0.3627 0.5000 1
Na4 Na 0.3627 0.1373 0.5000 1
Tl1 Tl 0.0000 0.0000 0.0000 1
Tl2 Tl 0.5000 0.5000 0.0000 1
Ba1 Ba 0.3363 0.8363 0.0000 1
Ba2 Ba 0.8363 0.6637 0.0000 1
Ba3 Ba 0.6637 0.1637 0.0000 1
Ba4 Ba 0.1637 0.3363 0.0000 1

***

Question: Among the records above, which one has the lowest formation energy from the elements?
Answer: BaNa4Tl2